1:
The following is a DFT calculation (PBE) of LaPHPd2 after structural relaxation.

Cell and atoms, written as POSCAR:
```
LaPHPd2
1.0
4.0693 0.0000 0.0000
-2.0346 5.3699 0.0000
0.0000 0.0000 7.2747
Pd La P H
4 2 2 2
Cartesian
2.0346 3.6052 0.4167
0.0000 1.7648 4.0541
2.0346 3.6052 3.2207
0.0000 1.7648 6.8580
0.0000 4.7366 5.4560
2.0346 0.6334 1.8187
0.0000 2.9716 1.8187
2.0346 2.3984 5.4560
0.0000 0.0000 0.0000
0.0000 0.0000 3.6374
```



2:
The following is a DFT calculation (PBE) of LaPHPd2 after structural relaxation.

Cell and atoms, written as POSCAR:
```
LaPHPd2
1.0
-3.7898 -0.8723 -1.3581
-1.0033 -2.2058 4.2164
-1.3723 3.5660 1.5390
Pd La P H
2 1 1 1
Cartesian
-0.6861 1.7830 0.7695
-1.8949 -0.4361 -0.6791
-3.0827 0.2440 2.1986
-0.5016 -1.1029 2.1082
0.0000 0.0000 0.0000
```



We find 1 to be the most stable, with the next structure 442 meV per atom higher.